Here is crystalline MgSbCI2 at its relaxed geometry from Alexandria. Energies are from PBE-GGA.

POSCAR file:
```
MgSbCI2
1.0
5.6346 0.0000 0.0000
0.0000 5.6346 0.0000
0.0000 0.0000 5.6224
C Mg I Sb
1 1 2 1
direct
0.5000 0.5000 0.5000
0.0000 0.0000 0.0000
0.5000 0.0000 0.0000
0.0000 0.5000 0.0000
0.0000 0.0000 0.5000
```

Computed properties:
* calculated total energy: -2.16 eV per atom
* ΔE_f (raw): 1.4441 eV/atom
* calculated volume: 35.7 Å³/atom
* space-group type: P4/mmm (123)